Material: Pa2NiO8
Method: DFT, GGA+U
State: relaxed

a b c (Å): 4.2062 7.8131 7.8131
angles (deg): 52.37 57.47 57.47
Each line ends with the local moment (μB).
Sites, in units of the cell vectors:
Pa 0.4266 0.2867 0.2867  0.04
Pa 0.5734 0.7133 0.7133  0.04
Ni 0.0000 0.0000 0.0000  1.73
O 0.2621 0.6683 0.0698  0.06
O 0.7379 0.9302 0.3317  0.06
O 0.9643 0.2678 0.2678  0.02
O 0.0357 0.7322 0.7322  0.02
O 0.2621 0.0698 0.6683  0.06
O 0.7379 0.3317 0.9302  0.06
O 0.6488 0.5000 0.5000  0.67
O 0.3512 0.5000 0.5000  0.67

Computed properties:
**Calculated volume**: 14.799 Å³/atom
**Final energy**: -7.8409 eV per atom